1.
A geometry-optimized BeBr structure, computed with PBE.

Calculated values
Raw total energy (eV per atom): -2.16
Spin magnetization (μB per formula unit): 0.0
E above lowest polymorph (meV per atom): 942
ΔE_f (raw) (kJ per mole of atoms): 51.8

a b c (Å): 3.450 3.450 13.970
angles (deg): 90.00 90.00 90.00
Space group I4_1/amd (No. 141, origin choice 2)
Symmetry-distinct sites (fractional):
Be1 0.000 0.250 0.375 (multiplicity 4)
Br1 0.000 0.250 0.875 (multiplicity 4)



2.
A geometry-optimized BeBr structure, computed with PBE.

Calculated values
Raw total energy (eV per atom): -2.15
Spin magnetization (μB per formula unit): 0.0
E above lowest polymorph (meV per atom): 953
ΔE_f (raw) (kJ per mole of atoms): 52.9

a b c (Å): 3.4403 3.4403 6.7811
angles (deg): 90.00 90.00 120.00
Space group P6_3/mmc (No. 194)
Symmetry-distinct sites (fractional):
Be1 0.3333 0.6667 0.2500 (multiplicity 2)
Br1 0.0000 0.0000 0.0000 (multiplicity 2)



3.
A geometry-optimized Be2Br3 structure, computed with PBE.

Calculated values
Raw total energy (eV per atom): -2.96
Spin magnetization (μB per formula unit): 0.2
ΔE_f (raw) (kJ per mole of atoms): -44.8

a b c (Å): 11.905 18.050 4.876
angles (deg): 90.00 90.00 90.00
Space group Fdd2 (No. 43)
Symmetry-distinct sites (fractional):
Be1 0.030 0.063 0.000 (multiplicity 16)
Br1 0.000 0.000 0.620 (multiplicity 8)
Br2 0.053 0.330 0.444 (multiplicity 16)



4.
A geometry-optimized BeBr structure, computed with PBE.

Calculated values
Raw total energy (eV per atom): -2.65
Spin magnetization (μB per formula unit): 0.0
E above lowest polymorph (meV per atom): 457
ΔE_f (raw) (kJ per mole of atoms): 5.1

a b c (Å): 7.837 9.176 3.454
angles (deg): 90.00 90.00 90.00
Space group Cmcm (No. 63)
Symmetry-distinct sites (fractional):
Be1 0.000 0.093 0.250 (multiplicity 4)
Br1 0.000 0.307 0.250 (multiplicity 4)



5.
A geometry-optimized Be2Br structure, computed with PBE.

Calculated values
Raw total energy (eV per atom): -3.06
Spin magnetization (μB per formula unit): 0.0
E above lowest polymorph (meV per atom): 99
ΔE_f (raw) (kJ per mole of atoms): -2.1

a b c (Å): 3.475 17.414 3.381
angles (deg): 90.00 90.00 90.00
Space group Cmcm (No. 63)
Symmetry-distinct sites (fractional):
Be1 0.000 0.034 0.250 (multiplicity 4)
Be2 0.000 0.457 0.250 (multiplicity 4)
Br1 0.000 0.356 0.750 (multiplicity 4)



6.
A geometry-optimized Be2Br structure, computed with PBE.

Calculated values
Raw total energy (eV per atom): -2.47
Spin magnetization (μB per formula unit): 0.0
E above lowest polymorph (meV per atom): 696
ΔE_f (raw) (kJ per mole of atoms): 55.4

a b c (Å): 3.2544 3.2544 4.9798
angles (deg): 90.00 90.00 120.00
Space group P-3m1 (No. 164)
Symmetry-distinct sites (fractional):
Be1 0.3333 0.6667 0.1378 (multiplicity 2)
Br1 0.0000 0.0000 0.5000 (multiplicity 1)



7.
A geometry-optimized BeBr structure, computed with PBE.

Calculated values
Raw total energy (eV per atom): -2.75
Spin magnetization (μB per formula unit): 0.0
E above lowest polymorph (meV per atom): 355
ΔE_f (raw) (kJ per mole of atoms): -4.8

a b c (Å): 3.407 13.843 5.818
angles (deg): 90.00 90.00 90.00
Space group Pmmn (No. 59, origin choice 2)
Symmetry-distinct sites (fractional):
Be1 0.250 0.038 0.089 (multiplicity 4)
Be2 0.250 0.750 0.442 (multiplicity 2)
Br1 0.250 0.250 0.795 (multiplicity 2)
Br2 0.250 0.618 0.656 (multiplicity 4)



8.
A geometry-optimized BeBr2 structure, computed with PBE.

Calculated values
Raw total energy (eV per atom): -2.27
Spin magnetization (μB per formula unit): 0.0
E above lowest polymorph (meV per atom): 1110
ΔE_f (raw) (kJ per mole of atoms): 8.4

a b c (Å): 3.249 3.249 14.016
angles (deg): 90.00 90.00 90.00
Space group I4/mmm (No. 139)
Symmetry-distinct sites (fractional):
Be1 0.000 0.000 0.000 (multiplicity 2)
Br1 0.000 0.000 0.389 (multiplicity 4)



9.
A geometry-optimized BeBr2 structure, computed with PBE.

Calculated values
Raw total energy (eV per atom): -3.03
Spin magnetization (μB per formula unit): 0.0
E above lowest polymorph (meV per atom): 349
ΔE_f (raw) (kJ per mole of atoms): -64.9

a b c (Å): 12.841 3.297 5.009
angles (deg): 90.00 100.11 90.00
Space group C2/m (No. 12)
Symmetry-distinct sites (fractional):
Be1 0.000 0.000 0.000 (multiplicity 2)
Br1 0.111 0.500 0.196 (multiplicity 4)



10.
A geometry-optimized BeBr structure, computed with PBE.

Calculated values
Raw total energy (eV per atom): -2.07
Spin magnetization (μB per formula unit): 0.0
E above lowest polymorph (meV per atom): 1032
ΔE_f (raw) (kJ per mole of atoms): 60.5

a b c (Å): 5.702 5.702 5.702
angles (deg): 90.00 90.00 90.00
Space group F-43m (No. 216)
Symmetry-distinct sites (fractional):
Be1 0.000 0.000 0.000 (multiplicity 4)
Br1 0.250 0.250 0.250 (multiplicity 4)



11.
A geometry-optimized BeBr5 structure, computed with PBE.

Calculated values
Raw total energy (eV per atom): -1.78
Spin magnetization (μB per formula unit): 0.0
E above lowest polymorph (meV per atom): 419
ΔE_f (raw) (kJ per mole of atoms): 22.3

a b c (Å): 3.079 3.079 19.386
angles (deg): 90.00 90.00 90.00
Space group P4/mmm (No. 123)
Symmetry-distinct sites (fractional):
Be1 0.000 0.000 0.000 (multiplicity 1)
Br1 0.000 0.000 0.280 (multiplicity 2)
Br2 0.500 0.500 0.080 (multiplicity 2)
Br3 0.500 0.500 0.500 (multiplicity 1)



12.
A geometry-optimized BeBr structure, computed with PBE.

Calculated values
Raw total energy (eV per atom): -2.25
Spin magnetization (μB per formula unit): 0.8
E above lowest polymorph (meV per atom): 851
ΔE_f (raw) (kJ per mole of atoms): 43.1

a b c (Å): 8.727 3.488 6.430
angles (deg): 90.00 90.00 90.00
Space group Pnma (No. 62)
Symmetry-distinct sites (fractional):
Be1 0.137 0.250 0.074 (multiplicity 4)
Br1 0.008 0.750 0.231 (multiplicity 4)